# 1
Er3Zn4Ni2 | GGA-PBE | relaxed

abc: 10.4733 4.2781 8.2535
angles: 90.00 115.81 90.00
Space group C2/m (No. 12)
Symmetry-distinct sites (fractional):
Er: 0.0000 0.0000 0.0000 [2 per cell]
Er: 0.1845 0.5000 0.6402 [4 per cell]
Zn: 0.0282 0.0000 0.3640 [4 per cell]
Zn: 0.2155 0.5000 0.0540 [4 per cell]
Ni: 0.0944 0.5000 0.2605 [4 per cell]

Output
Calculated formation energy   -0.40 eV per atom
Volume   332.9 Å³ per cell
DFT total energy   -67.9 eV per cell

# 2
La2AlIr3 | GGA-PBE | relaxed

abc: 5.7485 5.7485 12.1931
angles: 90.00 90.00 120.00
Space group R-3m (No. 166, hexagonal axes)
Symmetry-distinct sites (fractional):
La: 0.0000 0.0000 0.1283 [6 per cell]
Al: 0.0000 0.0000 0.5000 [3 per cell]
Ir: 0.0000 0.5000 0.0000 [9 per cell]

Output
Calculated formation energy   -0.81 eV per atom
Volume   348.9 Å³ per cell
DFT total energy   -135.1 eV per cell

# 3
AcSm2V | GGA-PBE | relaxed

abc: 3.5574 3.5574 35.6621
angles: 90.00 90.00 120.00
Space group R-3m (No. 166, hexagonal axes)
Symmetry-distinct sites (fractional):
Ac: 0.0000 0.0000 0.0000 [3 per cell]
Sm: 0.0000 0.0000 0.4207 [6 per cell]
V: 0.0000 0.0000 0.5000 [3 per cell]

Output
Calculated formation energy   0.71 eV per atom
Volume   390.8 Å³ per cell
DFT total energy   -59.5 eV per cell

# 4
Sr2ScGe3Ir4 | GGA-PBE | relaxed

abc: 4.2345 4.2345 11.0404
angles: 90.00 90.00 90.00
Space group P-4m2 (No. 115)
Symmetry-distinct sites (fractional):
Sr: 0.0000 0.5000 0.2389 [2 per cell]
Sc: 0.0000 0.0000 0.5000 [1 per cell]
Ge: 0.0000 0.5000 0.8778 [2 per cell]
Ge: 0.5000 0.5000 0.5000 [1 per cell]
Ir: 0.0000 0.0000 0.0000 [1 per cell]
Ir: 0.0000 0.5000 0.6427 [2 per cell]
Ir: 0.5000 0.5000 0.0000 [1 per cell]

Output
Calculated formation energy   -0.68 eV per atom
Volume   198.0 Å³ per cell
DFT total energy   -65.8 eV per cell

# 5
KCrOs2 | GGA-PBE | relaxed

abc: 5.4790 10.1557 2.6827
angles: 90.00 114.39 90.00
Space group C2/m (No. 12)
Symmetry-distinct sites (fractional):
K: 0.0000 0.0000 0.0000 [2 per cell]
Cr: 0.0000 0.5000 0.0000 [2 per cell]
Os: 0.2500 0.2500 0.5000 [4 per cell]

Output
Calculated formation energy   1.43 eV per atom
Volume   135.9 Å³ per cell
DFT total energy   -54.9 eV per cell

# 6
ScCuRe2 | GGA-PBE | relaxed

abc: 8.9592 2.8295 5.0056
angles: 90.00 97.92 90.00
Space group Cm (No. 8)
Symmetry-distinct sites (fractional):
Sc: 0.0000 0.0000 0.0000 [2 per cell]
Cu: 0.2502 0.0000 0.7838 [2 per cell]
Re: 0.0118 0.5000 0.5059 [2 per cell]
Re: 0.2617 0.5000 0.3143 [2 per cell]

Output
Calculated formation energy   0.19 eV per atom
Volume   125.7 Å³ per cell
DFT total energy   -69.2 eV per cell

Please write out number 4 again, unchanged.
Sr2ScGe3Ir4 | GGA-PBE | relaxed

abc: 4.2345 4.2345 11.0404
angles: 90.00 90.00 90.00
Space group P-4m2 (No. 115)
Symmetry-distinct sites (fractional):
Sr: 0.0000 0.5000 0.2389 [2 per cell]
Sc: 0.0000 0.0000 0.5000 [1 per cell]
Ge: 0.0000 0.5000 0.8778 [2 per cell]
Ge: 0.5000 0.5000 0.5000 [1 per cell]
Ir: 0.0000 0.0000 0.0000 [1 per cell]
Ir: 0.0000 0.5000 0.6427 [2 per cell]
Ir: 0.5000 0.5000 0.0000 [1 per cell]

Output
Calculated formation energy   -0.68 eV per atom
Volume   198.0 Å³ per cell
DFT total energy   -65.8 eV per cell

Question: Look up the DFT total energy of the second one.
Answer: -135.1 eV per cell

Question: Which formula does entry 4 have?
Answer: Sr2ScGe3Ir4